# 1
The following is a DFT calculation (SCAN) of K4MnAu at its PBEsol-relaxed geometry.

spin magnetization = 5.19 μB per formula unit
DOS at the Fermi energy = 2.85 states/eV per cell
symmetry = F-43m, No. 216
formation energy from the elements = 0.56 eV per atom
energy = -19.56 eV per atom

```
data_K4MnAu
_chemical_formula_sum 'K4 Mn1 Au1'
_cell_length_a 6.981
_cell_length_b 6.981
_cell_length_c 6.981
_cell_angle_alpha 60.00
_cell_angle_beta 60.00
_cell_angle_gamma 60.00
_space_group_name_H-M_alt 'P 1'
_space_group_IT_number 1
_space_group_name_Hall 'P 1'
loop_
_atom_site_label
_atom_site_type_symbol
_atom_site_fract_x
_atom_site_fract_y
_atom_site_fract_z
_atom_site_occupancy
K1 K 0.124 0.124 0.124 1
K2 K 0.124 0.124 0.628 1
K3 K 0.124 0.628 0.124 1
K4 K 0.628 0.124 0.124 1
Mn1 Mn 0.500 0.500 0.500 1
Au1 Au 0.750 0.750 0.750 1
```

***

# 2
The following is a DFT calculation (SCAN) of RbCoSeN2 at its PBEsol-relaxed geometry.

uncorrected formation energy = 2.404 eV/atom
spin magnetization = 8.01 μB per formula unit
DOS at the Fermi energy = 5.38 states/eV per cell
symmetry = P4/mmm, No. 123
energy = -12.94 eV per atom

```
data_RbCoSeN2
_chemical_formula_sum 'Rb1 Co1 Se1 N2'
_cell_length_a 4.858
_cell_length_b 4.858
_cell_length_c 6.382
_cell_angle_alpha 90.00
_cell_angle_beta 90.00
_cell_angle_gamma 90.00
_space_group_name_H-M_alt 'P 1'
_space_group_IT_number 1
_space_group_name_Hall 'P 1'
loop_
_atom_site_label
_atom_site_type_symbol
_atom_site_fract_x
_atom_site_fract_y
_atom_site_fract_z
_atom_site_occupancy
Rb1 Rb 0.000 0.000 0.000 1
Co1 Co 0.500 0.500 0.500 1
Se1 Se 0.000 0.000 0.500 1
N1 N 0.000 0.500 0.000 1
N2 N 0.500 0.000 0.000 1
```

***

# 3
The following is a DFT calculation (SCAN) of TaTiP3O12 at its PBEsol-relaxed geometry.

uncorrected formation energy = -2.793 eV/atom
spin magnetization = 0.00 μB per formula unit
DOS at the Fermi energy = 0.00 states/eV per cell
symmetry = R3c, No. 161
energy = -13.89 eV per atom

```
data_TaTiP3O12
_chemical_formula_sum 'Ta2 Ti2 P6 O24'
_cell_length_a 8.901
_cell_length_b 8.901
_cell_length_c 8.901
_cell_angle_alpha 57.99
_cell_angle_beta 57.99
_cell_angle_gamma 57.99
_space_group_name_H-M_alt 'P 1'
_space_group_IT_number 1
_space_group_name_Hall 'P 1'
loop_
_atom_site_label
_atom_site_type_symbol
_atom_site_fract_x
_atom_site_fract_y
_atom_site_fract_z
_atom_site_occupancy
Ta1 Ta 0.000 0.000 0.000 1
Ta2 Ta 0.500 0.500 0.500 1
Ti1 Ti 0.283 0.283 0.283 1
Ti2 Ti 0.783 0.783 0.783 1
P1 P 0.105 0.397 0.668 1
P2 P 0.168 0.897 0.605 1
P3 P 0.397 0.668 0.105 1
P4 P 0.605 0.168 0.897 1
P5 P 0.668 0.105 0.397 1
P6 P 0.897 0.605 0.168 1
O1 O 0.070 0.431 0.200 1
O2 O 0.077 0.221 0.847 1
O3 O 0.137 0.369 0.498 1
O4 O 0.143 0.917 0.780 1
O5 O 0.200 0.070 0.431 1
O6 O 0.221 0.847 0.077 1
O7 O 0.280 0.417 0.643 1
O8 O 0.347 0.721 0.577 1
O9 O 0.369 0.498 0.137 1
O10 O 0.417 0.643 0.280 1
O11 O 0.431 0.200 0.070 1
O12 O 0.498 0.137 0.369 1
O13 O 0.570 0.700 0.931 1
O14 O 0.577 0.347 0.721 1
O15 O 0.637 0.998 0.869 1
O16 O 0.643 0.280 0.417 1
O17 O 0.700 0.931 0.570 1
O18 O 0.721 0.577 0.347 1
O19 O 0.780 0.143 0.917 1
O20 O 0.847 0.077 0.221 1
O21 O 0.869 0.637 0.998 1
O22 O 0.917 0.780 0.143 1
O23 O 0.931 0.570 0.700 1
O24 O 0.998 0.869 0.637 1
```

***

# 4
The following is a DFT calculation (SCAN) of OsWN3 at its PBEsol-relaxed geometry.

uncorrected formation energy = 1.488 eV/atom
spin magnetization = 0.00 μB per formula unit
DOS at the Fermi energy = 3.35 states/eV per cell
symmetry = Pm-3m, No. 221
energy = -32.40 eV per atom

```
data_OsWN3
_chemical_formula_sum 'Os1 W1 N3'
_cell_length_a 3.876
_cell_length_b 3.876
_cell_length_c 3.876
_cell_angle_alpha 90.00
_cell_angle_beta 90.00
_cell_angle_gamma 90.00
_space_group_name_H-M_alt 'P 1'
_space_group_IT_number 1
_space_group_name_Hall 'P 1'
loop_
_atom_site_label
_atom_site_type_symbol
_atom_site_fract_x
_atom_site_fract_y
_atom_site_fract_z
_atom_site_occupancy
Os1 Os 0.000 0.000 0.000 1
W1 W 0.500 0.500 0.500 1
N1 N 0.000 0.500 0.500 1
N2 N 0.500 0.000 0.500 1
N3 N 0.500 0.500 0.000 1
```

***

Question: Which of these has the lowest energy?
Answer: OsWN3